(1)
# SrNi2Ru2 (GGA-PBE, relaxed)
# ΔE to the lowest computed polymorph (eV per atom): 0.0581
data_SrNi2Ru2
_cell_length_a 7.6348
_cell_length_b 7.6348
_cell_length_c 2.7131
_cell_angle_alpha 90.00
_cell_angle_beta 90.00
_cell_angle_gamma 90.00
_symmetry_space_group_name_H-M 'P 4/m b m'
_symmetry_Int_Tables_number 127
_symmetry_space_group_name_Hall '-P 4 2ab'
loop_
_atom_site_label
_atom_site_fract_x
_atom_site_fract_y
_atom_site_fract_z
Sr1 0.0000 0.0000 0.0000
Ni1 0.1774 0.3226 0.5000
Ru1 0.1163 0.6163 0.0000

***

(2)
# SrNi2Ru (GGA-PBE, relaxed)
# ΔE to the lowest computed polymorph (eV per atom): 0.6277
data_SrNi2Ru
_cell_length_a 4.0001
_cell_length_b 4.0001
_cell_length_c 8.3576
_cell_angle_alpha 90.00
_cell_angle_beta 90.00
_cell_angle_gamma 90.00
_symmetry_space_group_name_H-M 'I -4 m 2'
_symmetry_Int_Tables_number 119
_symmetry_space_group_name_Hall 'I -4 -2'
loop_
_atom_site_label
_atom_site_fract_x
_atom_site_fract_y
_atom_site_fract_z
Sr1 0.0000 0.0000 0.0000
Ni1 0.0000 0.0000 0.5000
Ni2 0.0000 0.5000 0.7500
Ru1 0.0000 0.5000 0.2500

***

(3)
# SrNiRu2 (GGA-PBE, relaxed)
# ΔE to the lowest computed polymorph (eV per atom): 0.6428
data_SrNiRu2
_cell_length_a 3.9396
_cell_length_b 3.9396
_cell_length_c 9.0998
_cell_angle_alpha 90.00
_cell_angle_beta 90.00
_cell_angle_gamma 90.00
_symmetry_space_group_name_H-M 'I 4/m m m'
_symmetry_Int_Tables_number 139
_symmetry_space_group_name_Hall '-I 4 2'
loop_
_atom_site_label
_atom_site_fract_x
_atom_site_fract_y
_atom_site_fract_z
Sr1 0.0000 0.0000 0.0000
Ni1 0.0000 0.0000 0.5000
Ru1 0.0000 0.5000 0.2500

***

(4)
# SrNi2Ru2 (GGA-PBE, relaxed)
# ΔE to the lowest computed polymorph (eV per atom): 0.0060
data_SrNi2Ru2
_cell_length_a 3.9411
_cell_length_b 3.9411
_cell_length_c 10.9781
_cell_angle_alpha 90.00
_cell_angle_beta 90.00
_cell_angle_gamma 90.00
_symmetry_space_group_name_H-M 'I 4/m m m'
_symmetry_Int_Tables_number 139
_symmetry_space_group_name_Hall '-I 4 2'
loop_
_atom_site_label
_atom_site_fract_x
_atom_site_fract_y
_atom_site_fract_z
Sr1 0.0000 0.0000 0.0000
Ni1 0.0000 0.0000 0.3878
Ru1 0.0000 0.5000 0.2500

***

(5)
A plane-wave DFT calculation with GGA-PBE was carried out for a relaxed structure of Sr2NiRu2.

Cell and atoms, written as CIF:
```
data_Sr2NiRu2
_cell_length_a 6.6633
_cell_length_b 6.6633
_cell_length_c 4.8878
_cell_angle_alpha 90.00
_cell_angle_beta 90.00
_cell_angle_gamma 90.00
_symmetry_space_group_name_H-M 'P 4/m b m'
_symmetry_Int_Tables_number 127
_symmetry_space_group_name_Hall '-P 4 2ab'
loop_
_atom_site_label
_atom_site_fract_x
_atom_site_fract_y
_atom_site_fract_z
Sr1 0.1828 0.3172 0.0000
Ni1 0.0000 0.0000 0.5000
Ru1 0.1245 0.6245 0.5000
```

***

(6)
# SrNi2Ru2 (GGA-PBE, relaxed)
# ΔE to the lowest computed polymorph (eV per atom): 0.0000
data_SrNi2Ru2
_cell_length_a 4.2047
_cell_length_b 4.2047
_cell_length_c 9.9472
_cell_angle_alpha 90.00
_cell_angle_beta 90.00
_cell_angle_gamma 90.00
_symmetry_space_group_name_H-M 'I 4/m m m'
_symmetry_Int_Tables_number 139
_symmetry_space_group_name_Hall '-I 4 2'
loop_
_atom_site_label
_atom_site_fract_x
_atom_site_fract_y
_atom_site_fract_z
Sr1 0.0000 0.0000 0.0000
Ni1 0.0000 0.5000 0.2500
Ru1 0.0000 0.0000 0.3840

***

(7)
# SrNiRu2 (GGA-PBE, relaxed)
# ΔE to the lowest computed polymorph (eV per atom): 0.5791
data_SrNiRu2
_cell_length_a 3.8670
_cell_length_b 3.8670
_cell_length_c 4.6034
_cell_angle_alpha 90.00
_cell_angle_beta 90.00
_cell_angle_gamma 90.00
_symmetry_space_group_name_H-M 'P 4/m m m'
_symmetry_Int_Tables_number 123
_symmetry_space_group_name_Hall '-P 4 2'
loop_
_atom_site_label
_atom_site_fract_x
_atom_site_fract_y
_atom_site_fract_z
Sr1 0.0000 0.0000 0.0000
Ni1 0.5000 0.5000 0.0000
Ru1 0.0000 0.5000 0.5000

***

(8)
# SrNi2Ru (GGA-PBE, relaxed)
# ΔE to the lowest computed polymorph (eV per atom): 0.2976
data_SrNi2Ru
_cell_length_a 3.1750
_cell_length_b 3.1750
_cell_length_c 6.8196
_cell_angle_alpha 90.00
_cell_angle_beta 90.00
_cell_angle_gamma 90.00
_symmetry_space_group_name_H-M 'P 4/m m m'
_symmetry_Int_Tables_number 123
_symmetry_space_group_name_Hall '-P 4 2'
loop_
_atom_site_label
_atom_site_fract_x
_atom_site_fract_y
_atom_site_fract_z
Sr1 0.0000 0.0000 0.0000
Ni1 0.5000 0.5000 0.3243
Ru1 0.0000 0.0000 0.5000

***

(9)
# SrNiRu (GGA-PBE, relaxed)
# ΔE to the lowest computed polymorph (eV per atom): 0.5797
data_SrNiRu
_cell_length_a 6.3943
_cell_length_b 6.3943
_cell_length_c 6.3943
_cell_angle_alpha 90.00
_cell_angle_beta 90.00
_cell_angle_gamma 90.00
_symmetry_space_group_name_H-M 'F -4 3 m'
_symmetry_Int_Tables_number 216
_symmetry_space_group_name_Hall 'F -4 2 3'
loop_
_atom_site_label
_atom_site_fract_x
_atom_site_fract_y
_atom_site_fract_z
Sr1 0.0000 0.0000 0.0000
Ni1 0.2500 0.2500 0.2500
Ru1 0.0000 0.0000 0.5000

***

(10)
# Sr2Ni2Ru (GGA-PBE, relaxed)
# ΔE to the lowest computed polymorph (eV per atom): 0.2049
data_Sr2Ni2Ru
_cell_length_a 5.8212
_cell_length_b 5.8212
_cell_length_c 7.0830
_cell_angle_alpha 90.00
_cell_angle_beta 90.00
_cell_angle_gamma 90.00
_symmetry_space_group_name_H-M 'I 4/m m m'
_symmetry_Int_Tables_number 139
_symmetry_space_group_name_Hall '-I 4 2'
loop_
_atom_site_label
_atom_site_fract_x
_atom_site_fract_y
_atom_site_fract_z
Sr1 0.0000 0.5000 0.2500
Ni1 0.0000 0.0000 0.1632
Ru1 0.0000 0.0000 0.5000

***

(11)
# SrNiRu2 (GGA-PBE, relaxed)
# ΔE to the lowest computed polymorph (eV per atom): 0.6768
data_SrNiRu2
_cell_length_a 2.8444
_cell_length_b 2.8444
_cell_length_c 28.1540
_cell_angle_alpha 90.00
_cell_angle_beta 90.00
_cell_angle_gamma 120.00
_symmetry_space_group_name_H-M 'R -3 m'
_symmetry_Int_Tables_number 166
_symmetry_space_group_name_Hall '-R 3 2"'
loop_
_atom_site_label
_atom_site_fract_x
_atom_site_fract_y
_atom_site_fract_z
Sr1 0.0000 0.0000 0.0000
Ni1 0.0000 0.0000 0.5000
Ru1 0.0000 0.0000 0.2361

***

(12)
A plane-wave DFT calculation with GGA-PBE was carried out for a relaxed structure of Sr2NiRu.

Cell and atoms, written as CIF:
```
data_Sr2NiRu
_cell_length_a 5.0992
_cell_length_b 5.0992
_cell_length_c 3.6578
_cell_angle_alpha 90.00
_cell_angle_beta 90.00
_cell_angle_gamma 90.00
_symmetry_space_group_name_H-M 'P 4/m m m'
_symmetry_Int_Tables_number 123
_symmetry_space_group_name_Hall '-P 4 2'
loop_
_atom_site_label
_atom_site_fract_x
_atom_site_fract_y
_atom_site_fract_z
Sr1 0.0000 0.5000 0.0000
Ni1 0.0000 0.0000 0.5000
Ru1 0.5000 0.5000 0.5000
```

***

(13)
# SrNiRu2 (GGA-PBE, relaxed)
# ΔE to the lowest computed polymorph (eV per atom): 0.0000
data_SrNiRu2
_cell_length_a 4.2567
_cell_length_b 4.2567
_cell_length_c 16.3461
_cell_angle_alpha 90.00
_cell_angle_beta 90.00
_cell_angle_gamma 120.00
_symmetry_space_group_name_H-M 'R 3 m'
_symmetry_Int_Tables_number 160
_symmetry_space_group_name_Hall 'R 3 -2"'
loop_
_atom_site_label
_atom_site_fract_x
_atom_site_fract_y
_atom_site_fract_z
Sr1 0.0000 0.0000 0.0000
Ni1 0.0000 0.0000 0.8076
Ru1 0.0000 0.0000 0.1878
Ru2 0.0000 0.0000 0.5090

***

(14)
A plane-wave DFT calculation with GGA-PBE was carried out for a relaxed structure of Sr4NiRu.

Cell and atoms, written as CIF:
```
data_Sr4NiRu
_cell_length_a 9.2164
_cell_length_b 9.2164
_cell_length_c 9.2164
_cell_angle_alpha 90.00
_cell_angle_beta 90.00
_cell_angle_gamma 90.00
_symmetry_space_group_name_H-M 'F -4 3 m'
_symmetry_Int_Tables_number 216
_symmetry_space_group_name_Hall 'F -4 2 3'
loop_
_atom_site_label
_atom_site_fract_x
_atom_site_fract_y
_atom_site_fract_z
Sr1 0.1245 0.1245 0.3755
Ni1 0.0000 0.0000 0.0000
Ru1 0.2500 0.2500 0.7500
```

***

Which V belongs to each record? In order, 158; 134; 141; 171; 217; 176; 69; 69; 261; 240; 197; 95; 257; 783 Å³ per cell.
Which energy of formation belongs to each record? In order, 177; 264; 327; 151; 195; 149; 302; 137; 231; 235; 340; 207; 79; 763 kJ/mol of formula units.
Which Fermi-level density of states belongs to each record? In order, 13.19; 9.45; 10.73; 15.96; 13.67; 12.35; 5.57; 6.64; 12.74; 8.22; 17.09; 6.59; 18.97; 36.88 states/eV per cell.